1.
! NiP2O7, relaxed, DFT GGA+U; values from VASP
&SYSTEM
  ibrav = 0, nat = 20, ntyp = 3
/
ATOMIC_SPECIES
O 16.00 O.upf
P 30.97 P.upf
Ni 58.69 Ni.upf
CELL_PARAMETERS angstrom
5.341 -0.091 -0.078
0.164 6.917 -0.167
0.244 2.988 7.885
ATOMIC_POSITIONS angstrom
O 5.638 8.936 5.611
O 4.192 6.048 -0.067
O 0.293 4.886 2.158
O 2.974 5.028 5.578
O 2.634 0.788 1.960
O 4.216 6.530 3.960
O 5.455 4.928 5.482
O 1.556 3.766 7.707
O 1.422 2.870 1.186
O 1.533 3.284 3.680
O 0.111 0.879 2.029
O 2.775 4.787 2.062
O 3.115 9.026 5.680
O 4.326 6.945 6.454
P 1.508 3.998 2.338
P 4.380 8.554 6.384
P 4.240 5.816 5.302
P 1.368 1.261 1.256
Ni 1.545 3.590 5.680
Ni 4.204 6.225 1.960
! Distance to the lowest polymorph of the same formula, eV per atom: 0.000
! Crystal system: triclinic
! Total DFT energy (no corrections), eV per atom: -6.384
! Symmetry: P-1


2.
! Ni2P2O7, relaxed, DFT GGA+U; values from VASP
&SYSTEM
  ibrav = 0, nat = 22, ntyp = 3
/
ATOMIC_SPECIES
Ni 58.69 Ni.upf
O 16.00 O.upf
P 30.97 P.upf
CELL_PARAMETERS angstrom
-0.310 1.855 4.105
1.008 -4.930 1.542
9.806 1.959 -0.145
ATOMIC_POSITIONS angstrom
Ni 2.276 -3.105 3.834
Ni 3.601 -0.275 3.036
Ni 6.903 -0.841 2.466
Ni 8.228 1.990 1.668
O 5.044 -1.672 2.083
O 0.446 -0.026 1.373
O 2.185 -1.590 2.356
O 1.957 0.864 3.957
O 5.460 0.557 3.419
O 0.504 -2.465 0.771
O 4.903 0.980 -0.073
O 10.058 -1.090 4.129
O 7.443 -2.265 3.938
O 8.548 -1.980 1.545
O 3.061 1.150 1.565
O 8.319 0.475 3.146
O 7.122 0.301 0.787
O 3.382 -1.416 4.715
P 4.617 -3.129 1.825
P 5.887 2.013 3.677
P 9.112 0.092 4.408
P 1.393 -1.207 1.094
! Distance to the lowest polymorph of the same formula, eV per atom: 0.005
! Crystal system: monoclinic
! Total DFT energy (no corrections), eV per atom: -6.463
! Symmetry: P2_1/c


3.
! Ni5P4O16, relaxed, DFT GGA+U; values from VASP
&SYSTEM
  ibrav = 0, nat = 25, ntyp = 3
/
ATOMIC_SPECIES
P 30.97 P.upf
O 16.00 O.upf
Ni 58.69 Ni.upf
CELL_PARAMETERS angstrom
-3.542 -3.714 -2.085
7.551 -2.846 -0.624
-1.052 0.460 8.860
ATOMIC_POSITIONS angstrom
P -1.196 -0.504 4.944
P 4.154 -5.596 1.207
P 2.189 -1.541 1.160
P 0.769 -4.558 4.991
O 2.705 -2.222 -0.152
O -0.476 -4.538 4.029
O -1.148 -1.922 4.356
O 4.105 -4.178 1.795
O 4.994 -2.707 4.393
O 6.606 -2.766 1.102
O 1.945 -3.819 4.374
O -2.036 -3.392 1.758
O 1.013 -2.281 1.777
O 4.687 -2.308 7.504
O -3.648 -3.334 5.049
O 3.434 -1.562 2.122
O -0.507 -0.828 6.375
O 0.253 -3.878 6.303
O -1.729 -3.791 -1.353
O 3.465 -5.272 -0.224
Ni 4.654 -2.420 0.554
Ni -0.410 -2.993 2.791
Ni 0.000 0.000 0.000
Ni 3.368 -3.106 3.360
Ni -1.696 -3.679 5.597
! Distance to the lowest polymorph of the same formula, eV per atom: 0.282
! Crystal system: triclinic
! Total DFT energy (no corrections), eV per atom: -5.942
! Symmetry: P-1


4.
! NiP3O9, relaxed, DFT GGA+U; values from VASP
&SYSTEM
  ibrav = 0, nat = 78, ntyp = 3
/
ATOMIC_SPECIES
O 16.00 O.upf
P 30.97 P.upf
Ni 58.69 Ni.upf
CELL_PARAMETERS angstrom
9.475 -0.014 0.000
-1.551 10.661 0.000
-3.962 -5.323 9.673
ATOMIC_POSITIONS angstrom
O -2.644 4.369 6.299
O -0.389 -2.172 5.614
O 6.566 7.020 3.198
O -2.134 1.704 6.474
O -0.816 4.984 9.205
O 0.045 2.349 7.585
O 1.130 6.311 0.327
O -0.834 5.679 3.658
O -3.398 3.724 9.622
O 3.870 5.662 2.773
O 5.253 4.401 1.196
O 0.549 4.492 5.273
O 7.554 5.479 1.447
O 3.115 8.258 1.027
O 2.799 5.661 5.034
O 6.285 1.226 3.733
O 3.909 7.815 4.087
O 0.388 2.150 0.712
O 2.196 4.416 7.116
O 6.514 -1.133 5.995
O 3.574 0.331 4.639
O 0.937 6.614 6.536
O 4.645 0.332 6.899
O 2.972 -0.915 2.556
O 3.891 2.928 8.646
O 1.325 -0.839 4.400
O -1.164 3.158 4.059
O -0.059 0.349 6.014
O 1.729 6.949 3.163
O 8.000 1.028 1.924
O -0.731 7.680 2.088
O -1.145 0.163 8.226
O 1.163 -3.180 8.961
O 3.660 3.123 2.670
O 0.870 3.995 2.790
O 3.143 -1.304 9.240
O -1.592 10.314 0.468
O 2.367 4.026 0.433
O 5.760 -0.160 1.766
O 1.645 -1.335 6.882
O 1.712 1.284 3.136
O 4.436 -2.207 7.003
O 5.739 4.197 3.678
O -4.490 5.184 7.907
O 1.905 0.981 9.346
O 7.607 -0.976 3.374
O 4.684 2.484 5.585
O -3.446 -0.915 8.476
O 5.509 6.556 5.939
O 2.505 1.618 6.509
O -2.251 6.373 7.748
O 3.096 1.311 0.602
O 5.301 9.040 0.050
O 3.872 -4.019 9.070
P 5.420 -1.070 7.012
P 3.845 1.279 5.903
P -0.841 1.238 7.085
P 4.644 4.261 2.660
P -3.324 5.581 6.855
P 3.955 9.434 0.600
P -0.144 4.246 3.866
P 0.632 -1.084 5.806
P -4.744 4.118 9.072
P 8.775 1.109 0.540
P 6.422 5.112 0.354
P -1.617 6.568 2.588
P 2.401 0.002 3.570
P 0.076 -4.207 9.133
P -2.277 -0.205 9.318
P 1.625 5.332 6.103
P 6.926 0.237 2.817
P 3.069 6.610 3.770
Ni 7.326 -2.488 4.720
Ni 1.997 2.621 1.724
Ni 2.773 -2.710 7.948
Ni 1.190 7.978 1.529
Ni 6.551 2.842 4.953
Ni 1.966 2.648 8.144
! Distance to the lowest polymorph of the same formula, eV per atom: 0.011
! Crystal system: monoclinic
! Total DFT energy (no corrections), eV per atom: -6.692
! Symmetry: Cc